Density functional theory data (PBE) for a relaxed structure of NdErOsPd.

Properties
Energy of formation from the pure elements (meV per atom): -435
Density of states at the Fermi level (states/eV per atom): 0.6299
Magnetization (μB per atom): 0.000
Total DFT energy (no corrections) (eV per cell): -27.5
SG: F-43m

Cell: 4.940 4.940 4.940 Å, 60.00 60.00 60.00°
Fractional positions:
Nd (0.000, 0.000, 0.000)
Er (0.500, 0.500, 0.500)
Os (0.250, 0.250, 0.250)
Pd (0.750, 0.750, 0.750)